1.
! NaV2WC, relaxed, DFT PBE-GGA; values from VASP
&SYSTEM
  ibrav = 0, nat = 5, ntyp = 4
/
ATOMIC_SPECIES
Na 22.99 Na.upf
C 12.01 C.upf
V 50.94 V.upf
W 183.84 W.upf
CELL_PARAMETERS angstrom
4.1063 0.0000 0.0000
0.0000 4.1924 0.0000
0.0000 0.0000 4.1063
ATOMIC_POSITIONS crystal
Na 0.5000 0.5000 0.5000
C 0.0000 0.0000 0.0000
V 0.0000 0.0000 0.5000
V 0.5000 0.0000 0.0000
W 0.0000 0.5000 0.0000
! Formation enthalpy at 0 K, eV per atom: 0.5699
! Total DFT energy (no corrections), eV/atom: -7.777
! ρ, g/cm3: 7.534
! Space-group type: P4/mmm (123)
! Crystal system: tetragonal



2.
! Ho8Te4PtS3, relaxed, DFT PBE-GGA; values from VASP
&SYSTEM
  ibrav = 0, nat = 16, ntyp = 4
/
ATOMIC_SPECIES
S 32.06 S.upf
Ho 164.93 Ho.upf
Te 127.60 Te.upf
Pt 195.08 Pt.upf
CELL_PARAMETERS angstrom
8.2202 0.0000 0.0000
0.0000 8.4101 0.1288
-4.1101 -4.1066 5.8152
ATOMIC_POSITIONS crystal
S 0.5000 0.5000 0.0000
S 0.5000 0.5000 0.5000
S 0.0000 0.5000 0.5000
Ho 0.2603 0.2895 0.0249
Ho 0.2354 0.7105 0.9751
Ho 0.7646 0.2895 0.5292
Ho 0.2354 0.7105 0.4708
Ho 0.7397 0.7105 0.9751
Ho 0.7349 0.7048 0.4699
Ho 0.2651 0.2952 0.5301
Ho 0.7646 0.2895 0.0249
Te 0.0000 0.0000 0.5000
Te 0.0000 0.0000 0.0000
Te 0.5000 0.0000 0.0000
Te 0.5000 0.0000 0.5000
Pt 0.0000 0.5000 0.0000
! Total DFT energy (no corrections), eV/atom: -5.768
! ρ, g/cm3: 8.667
! Space-group type: R-3m (166)
! Raw formation energy, eV/atom: -1.542
! Crystal system: trigonal



3.
! Tb2P4Rh5, relaxed, DFT PBE-GGA; values from VASP
&SYSTEM
  ibrav = 0, nat = 11, ntyp = 3
/
ATOMIC_SPECIES
P 30.97 P.upf
Rh 102.91 Rh.upf
Tb 158.93 Tb.upf
CELL_PARAMETERS angstrom
5.4237 0.0000 0.0000
2.7118 4.7994 0.0000
2.7118 0.0000 7.0438
ATOMIC_POSITIONS crystal
P 0.4730 0.3123 0.7416
P 0.5270 0.6877 0.2584
P 0.2147 0.3123 0.2584
P 0.7853 0.6877 0.7416
Rh 0.0000 0.5000 0.0000
Rh 0.2500 0.5000 0.5000
Rh 0.5000 0.5000 0.0000
Rh 0.7500 0.5000 0.5000
Rh 0.5000 0.0000 0.0000
Tb 0.1346 0.0000 0.7309
Tb 0.8654 0.0000 0.2691
! Formation enthalpy at 0 K, eV per atom: -0.8967
! Total DFT energy (no corrections), eV/atom: -7.047
! ρ, g/cm3: 8.661
! Space-group type: Fmmm (69)
! Crystal system: orthorhombic